(1)
Below is an optimized crystal structure of TiV2InBi, with properties calculated at the PBE level.

Its density of states at the Fermi level is 9.4 states/eV per cell. Its formation energy is 1.191 eV per atom.

The structure belongs to space group P4/mmm (No. 123); the cell edges are 5.017, 5.017 and 5.065 Å and the angles 90.00°, 90.00° and 90.00°. The asymmetric unit holds Ti at (0.000, 0.000, 0.000), V at (0.000, 0.500, 0.500), In at (0.000, 0.000, 0.500) and Bi at (0.500, 0.500, 0.000).



(2)
Below is an optimized crystal structure of Tl3In3Bi2, with properties calculated at the PBE level.

As for the energy above the most stable polymorph in this dataset: 0.179 eV per formula unit. Its density of states at the Fermi level is 2.6 states/eV per cell. Its formation energy is 0.020 eV per atom.

The structure belongs to space group P-1 (No. 2); the cell edges are 4.322, 5.320 and 11.136 Å and the angles 76.64°, 78.96° and 89.61°. The asymmetric unit holds Tl at (0.000, 0.000, 0.000), Tl at (0.126, 0.632, 0.749), In at (0.371, 0.863, 0.258), In at (0.500, 0.500, 0.000) and Bi at (0.247, 0.247, 0.505).



(3)
Below is an optimized crystal structure of Tl4InBi2, with properties calculated at the PBE level.

Its density of states at the Fermi level is 3.2 states/eV per cell. Its formation energy is 0.036 eV per atom.

The structure belongs to space group P-1 (No. 2); the cell edges are 5.253, 6.638 and 7.906 Å and the angles 79.77°, 71.19° and 67.24°. The asymmetric unit holds Tl at (0.101, 0.213, 0.094), Tl at (0.322, 0.308, 0.548), In at (0.000, 0.000, 0.500) and Bi at (0.340, 0.641, 0.171).



(4)
Below is an optimized crystal structure of Tl2In6Bi3, with properties calculated at the PBE level.

Its density of states at the Fermi level is 4.3 states/eV per cell. Its formation energy is 0.056 eV per atom.

The structure belongs to space group P-62m (No. 189); the cell edges are 9.5719, 9.5719 and 4.5176 Å and the angles 90.00°, 90.00° and 120.00°. The asymmetric unit holds Tl at (0.3333, 0.6667, 0.0000), In at (0.0000, 0.2706, 0.5000), In at (0.0000, 0.8064, 0.0000) and Bi at (0.0000, 0.5875, 0.5000).



(5)
Below is an optimized crystal structure of Tl12In3Bi5, with properties calculated at the PBE level.

Its density of states at the Fermi level is 85.9 states/eV per cell. Its formation energy is 0.168 eV per atom.

The structure belongs to space group Ia-3d (No. 230); the cell edges are 18.286, 18.286 and 18.286 Å and the angles 90.00°, 90.00° and 90.00°. The asymmetric unit holds Tl at (0.019, 0.083, 0.651), In at (0.000, 0.250, 0.125), Bi at (0.000, 0.000, 0.000) and Bi at (0.000, 0.250, 0.375).



(6)
Below is an optimized crystal structure of Tl15In4Bi, with properties calculated at the PBE level.

Its density of states at the Fermi level is 10.8 states/eV per cell. Its formation energy is 0.014 eV per atom.

The structure belongs to space group P4/mmm (No. 123); the cell edges are 5.448, 5.448 and 20.520 Å and the angles 90.00°, 90.00° and 90.00°. The asymmetric unit holds Tl at (0.000, 0.000, 0.000), Tl at (0.000, 0.000, 0.204), Tl at (0.000, 0.000, 0.402), Tl at (0.000, 0.500, 0.104), Tl at (0.000, 0.500, 0.303), Tl at (0.000, 0.500, 0.500), In at (0.500, 0.500, 0.207), In at (0.500, 0.500, 0.400) and Bi at (0.500, 0.500, 0.000).



(7)
Below is an optimized crystal structure of TlIn4Bi3, with properties calculated at the PBE level.

Its density of states at the Fermi level is 4.4 states/eV per cell. Its formation energy is 0.044 eV per atom.

The structure belongs to space group Pmmm (No. 47); the cell edges are 3.508, 5.837 and 11.732 Å and the angles 90.00°, 90.00° and 90.00°. The asymmetric unit holds Tl at (0.000, 0.000, 0.000), In at (0.500, 0.000, 0.256), In at (0.500, 0.500, 0.000), In at (0.500, 0.500, 0.500), Bi at (0.000, 0.000, 0.500) and Bi at (0.000, 0.500, 0.241).



(8)
Below is an optimized crystal structure of Tl4In3Bi2, with properties calculated at the PBE level.

Its density of states at the Fermi level is 7.1 states/eV per cell. Its formation energy is 0.000 eV per atom.

The structure belongs to space group C2/m (No. 12); the cell edges are 11.854, 5.222 and 10.241 Å and the angles 90.00°, 120.10° and 90.00°. The asymmetric unit holds Tl at (0.006, 0.000, 0.332), Tl at (0.161, 0.500, 0.898), In at (0.000, 0.000, 0.000), In at (0.156, 0.500, 0.557) and Bi at (0.179, 0.500, 0.250).